No. 1
DFT (PBE) results for ScCu2Pd2 after structural relaxation.

Properties
SG   C2/m (12)
Raw total energy   -5.454 eV per atom
E_form   -0.4719 eV per atom

Lattice parameters (Å, degrees): 4.7255 4.7255 6.1301 128.95 128.95 49.72
Sites, in units of the cell vectors:
Sc 0.0000 0.0000 0.0000
Cu 0.1888 0.1888 0.5969
Cu 0.8112 0.8112 0.4031
Pd 0.4153 0.4153 0.2108
Pd 0.5847 0.5847 0.7892

No. 2
DFT (PBE) results for GeTeSe after structural relaxation.

Properties
SG   P3_2 (145)
Energy relative to the elements, uncorrected   -61 meV/atom
Raw total energy   -3.808 eV per atom

Lattice parameters (Å, degrees): 6.5743 6.5743 7.6705 90.00 90.00 120.00
Sites, in units of the cell vectors:
Ge 0.0192 0.4622 0.0000
Ge 0.4430 0.9808 0.3333
Ge 0.5378 0.5570 0.6667
Te 0.3045 0.2901 0.3952
Te 0.7099 0.0144 0.0619
Te 0.9856 0.6955 0.7285
Se 0.0538 0.6386 0.2853
Se 0.3614 0.4152 0.9520
Se 0.5848 0.9462 0.6186

No. 3
DFT (PBE) results for V6GaSb after structural relaxation.

Properties
SG   Pm-3 (200)
Energy relative to the elements, uncorrected   -173 meV/atom
Raw total energy   -7.906 eV per atom

Lattice parameters (Å, degrees): 4.8652 4.8652 4.8652 90.00 90.00 90.00
Sites, in units of the cell vectors:
V 0.0000 0.2424 0.5000
V 0.0000 0.7576 0.5000
V 0.2424 0.5000 0.0000
V 0.5000 0.0000 0.2424
V 0.5000 0.0000 0.7576
V 0.7576 0.5000 0.0000
Ga 0.0000 0.0000 0.0000
Sb 0.5000 0.5000 0.5000

No. 4
DFT (PBE) results for ErMgHg after structural relaxation.

Properties
SG   P4/nmm (129)
Raw total energy   -2.411 eV per atom
E_form   -0.2577 eV per atom

Lattice parameters (Å, degrees): 3.5367 3.5367 11.7185 90.00 90.00 90.00
Sites, in units of the cell vectors:
Er 0.2500 0.2500 0.1060
Er 0.7500 0.7500 0.8940
Mg 0.2500 0.2500 0.4162
Mg 0.7500 0.7500 0.5838
Hg 0.2500 0.2500 0.7243
Hg 0.7500 0.7500 0.2757

No. 5
DFT (PBE) results for TmZrIrOs after structural relaxation.

Properties
SG   F-43m (216)
Raw total energy   -8.910 eV per atom
E_form   -0.6324 eV per atom

Lattice parameters (Å, degrees): 4.7097 4.7097 4.7097 60.00 60.00 60.00
Sites, in units of the cell vectors:
Tm 0.0000 0.0000 0.0000
Zr 0.5000 0.5000 0.5000
Ir 0.7500 0.7500 0.7500
Os 0.2500 0.2500 0.2500

No. 6
DFT (PBE) results for CaHo2Cd8 after structural relaxation.

Properties
SG   C2/m (12)
Raw total energy   -1.933 eV per atom
E_form   -0.2528 eV per atom

Lattice parameters (Å, degrees): 9.0020 9.0020 5.3721 107.31 107.31 125.11
Sites, in units of the cell vectors:
Ca 0.0000 0.0000 0.0000
Ho 0.3117 0.6883 0.5000
Ho 0.6883 0.3117 0.5000
Cd 0.1012 0.3668 0.7351
Cd 0.2017 0.7983 0.0000
Cd 0.3668 0.1012 0.7351
Cd 0.4989 0.4989 0.7473
Cd 0.5011 0.5011 0.2527
Cd 0.6332 0.8988 0.2649
Cd 0.7983 0.2017 0.0000
Cd 0.8988 0.6332 0.2649

> Among the records above, which one has the highest raw total energy?

CaHo2Cd8

> Which value of raw total energy does entry 2 give?

-3.808 eV per atom